DFT (PBE) results for an optimized crystal structure of AlHg2P.

Lattice parameters (Å, degrees): 4.927 4.927 4.927 60.00 60.00 60.00
Atoms (fractional coordinates):
Al: 0.000 0.000 0.000
Hg: 0.500 0.500 0.500
Hg: 0.750 0.750 0.750
P: 0.250 0.250 0.250

Calculated values
size of the total moment = 0.00 μB/f.u.
SG = No. 216
excess energy over the best structure of this formula in the dataset = 436 meV/atom
ΔH_f (0 K) = 0.3889 eV/atom